No. 1
This record from the Alexandria database describes Zn8Cu at its PBEsol-relaxed geometry. The functional is meta-GGA SCAN.

a b c (Å): 8.057 8.057 3.785
angles (deg): 90.00 90.00 90.00
Space group I4/mmm (No. 139)
Asymmetric unit:
Zn 0.000 0.330 0.000 x8
Zn 0.164 0.164 0.500 x8
Cu 0.000 0.000 0.000 x2


No. 2
This record from the Alexandria database describes As2ICl at its PBEsol-relaxed geometry. The functional is meta-GGA SCAN.

Computed properties:
E_form (uncorrected) ... 2.3 eV per formula unit

a b c (Å): 7.825 7.825 6.301
angles (deg): 90.00 90.00 90.00
Space group I-42d (No. 122)
Asymmetric unit:
As 0.242 0.750 0.125 x8
I 0.000 0.000 0.500 x4
Cl 0.000 0.000 0.000 x4


No. 3
This record from the Alexandria database describes BaReH9 at its PBEsol-relaxed geometry. The functional is meta-GGA SCAN.

Computed properties:
ΔE to the lowest computed polymorph ... 0.8 meV per atom

a b c (Å): 5.115 9.152 5.131
angles (deg): 90.00 119.70 90.00
Space group P2_1/m (No. 11)
Asymmetric unit:
Ba 0.000 0.000 0.000 x2
Re 0.333 0.250 0.666 x2
H 0.023 0.141 0.497 x4
H 0.141 0.250 0.850 x2
H 0.251 0.250 0.301 x2
H 0.301 0.750 0.248 x2
H 0.423 0.088 0.577 x4
H 0.499 0.141 0.975 x4


No. 4
This record from the Alexandria database describes KTa2Nb at its PBEsol-relaxed geometry. The functional is meta-GGA SCAN.

a b c (Å): 6.822 6.822 6.822
angles (deg): 90.00 90.00 90.00
Space group Fm-3m (No. 225)
Asymmetric unit:
K 0.000 0.000 0.000 x4
Ta 0.250 0.250 0.250 x8
Nb 0.000 0.000 0.500 x4


No. 5
This record from the Alexandria database describes Ba2NiAg at its PBEsol-relaxed geometry. The functional is meta-GGA SCAN.

Computed properties:
ΔE to the lowest computed polymorph ... 85.3 meV per atom

a b c (Å): 5.449 5.449 3.876
angles (deg): 90.00 90.00 90.00
Space group P4/mmm (No. 123)
Asymmetric unit:
Ba 0.000 0.500 0.000 x2
Ni 0.000 0.000 0.500 x1
Ag 0.500 0.500 0.500 x1


No. 6
This record from the Alexandria database describes AlCrNi6 at its PBEsol-relaxed geometry. The functional is meta-GGA SCAN.

a b c (Å): 6.993 9.888 9.892
angles (deg): 90.00 90.00 90.00
Space group Cmmm (No. 65)
Asymmetric unit:
Al 0.000 0.000 0.250 x4
Al 0.000 0.250 0.000 x4
Cr 0.000 0.250 0.500 x4
Cr 0.000 0.500 0.248 x4
Ni 0.000 0.000 0.000 x2
Ni 0.000 0.000 0.500 x2
Ni 0.000 0.252 0.254 x8
Ni 0.000 0.500 0.000 x2
Ni 0.000 0.500 0.500 x2
Ni 0.247 0.374 0.377 x16
Ni 0.247 0.376 0.127 x16


No. 7
This record from the Alexandria database describes Cd3SF at its PBEsol-relaxed geometry. The functional is meta-GGA SCAN.

Computed properties:
E_form (uncorrected) ... -1.3 eV per formula unit

a b c (Å): 4.686 4.686 4.686
angles (deg): 90.00 90.00 90.00
Space group Pm-3m (No. 221)
Asymmetric unit:
Cd 0.000 0.000 0.500 x3
S 0.500 0.500 0.500 x1
F 0.000 0.000 0.000 x1


No. 8
This record from the Alexandria database describes BeIr2Rh at its PBEsol-relaxed geometry. The functional is meta-GGA SCAN.

a b c (Å): 2.737 2.737 6.536
angles (deg): 90.00 90.00 90.00
Space group P4/mmm (No. 123)
Asymmetric unit:
Be 0.000 0.000 0.000 x1
Ir 0.500 0.500 0.212 x2
Rh 0.000 0.000 0.500 x1


No. 9
This record from the Alexandria database describes BeZn2As at its PBEsol-relaxed geometry. The functional is meta-GGA SCAN.

Computed properties:
ΔE to the lowest computed polymorph ... 0.0 meV per atom

a b c (Å): 3.913 3.913 15.926
angles (deg): 90.00 90.00 90.00
Space group I-42d (No. 122)
Asymmetric unit:
Be 0.000 0.000 0.000 x4
Zn 0.199 0.250 0.125 x8
As 0.000 0.000 0.500 x4


No. 10
This record from the Alexandria database describes Ti2BeSnTe at its PBEsol-relaxed geometry. The functional is meta-GGA SCAN.

Computed properties:
E_form (uncorrected) ... 1.2 eV per formula unit

a b c (Å): 4.724 4.724 4.203
angles (deg): 90.00 90.00 90.00
Space group P4/mmm (No. 123)
Asymmetric unit:
Ti 0.000 0.500 0.000 x2
Be 0.000 0.000 0.000 x1
Sn 0.000 0.000 0.500 x1
Te 0.500 0.500 0.500 x1


No. 11
This record from the Alexandria database describes LaCrSe3 at its PBEsol-relaxed geometry. The functional is meta-GGA SCAN.

Computed properties:
E_form (uncorrected) ... -8.0 eV per formula unit

a b c (Å): 8.081 3.947 13.586
angles (deg): 90.00 90.00 90.00
Space group Pnma (No. 62)
Asymmetric unit:
La 0.096 0.250 0.172 x4
Cr 0.163 0.750 0.448 x4
Se 0.012 0.750 0.606 x4
Se 0.158 0.750 0.004 x4
Se 0.189 0.250 0.787 x4


No. 12
This record from the Alexandria database describes MgTe2Pd at its PBEsol-relaxed geometry. The functional is meta-GGA SCAN.

Computed properties:
E_form (uncorrected) ... -0.8 eV per formula unit

a b c (Å): 3.9979 3.9979 24.9098
angles (deg): 90.00 90.00 120.00
Space group R-3m (No. 166, hexagonal axes)
Asymmetric unit:
Mg 0.0000 0.0000 0.0000 x3
Te 0.0000 0.0000 0.1107 x6
Pd 0.0000 0.0000 0.5000 x3


Here are the calculated energy numbers, same order: -13.69, -20.70, -13.21, -42.17, -31.57, -15.65, -21.14, -45.42, -12.69, -21.67, -25.95, -28.27 (eV per atom).